Material: Ag2MoPt
Method: DFT, PBE
State: optimized geometry

Geometry as POSCAR:
```
Ag2MoPt
1.0
5.0711 -0.0036 0.0040
4.3109 2.6707 0.0040
0.6468 0.1839 4.8544
Pt Ag Mo
1 2 1
Direct
0.2500 0.2500 0.2500
0.0009 0.0009 0.9983
0.4991 0.4991 0.5017
0.7500 0.7500 0.7500
```

Properties
* total energy: -21.66 eV/cell
* polymorph energy (0 for the lowest one): 174 meV per atom
* spin magnetization: 0.00 Bohr magnetons per cell
* energy of formation: 0.91 eV/f.u.